Tl2HgPd5Au2 | PBE-GGA | relaxed

Unit cell a=9.8829 b=9.8829 c=3.9435 alpha=90.00 beta=90.00 gamma=90.00
Fractional positions:
Tl1 0.1580 0.3420 0.0000
Tl2 0.3420 0.8420 0.0000
Tl3 0.6580 0.1580 0.0000
Tl4 0.8420 0.6580 0.0000
Hg1 0.0000 0.0000 0.0000
Hg2 0.5000 0.5000 0.0000
Pd1 0.0000 0.5000 0.5000
Pd2 0.0157 0.7944 0.5000
Pd3 0.2056 0.0157 0.5000
Pd4 0.2944 0.5157 0.5000
Pd5 0.4843 0.2944 0.5000
Pd6 0.5000 0.0000 0.5000
Pd7 0.5157 0.7056 0.5000
Pd8 0.7056 0.4843 0.5000
Pd9 0.7944 0.9843 0.5000
Pd10 0.9843 0.2056 0.5000
Au1 0.1450 0.6450 0.0000
Au2 0.3550 0.1450 0.0000
Au3 0.6450 0.8550 0.0000
Au4 0.8550 0.3550 0.0000

Density of states at the Fermi level in states/eV per cell: 7.5
Total magnetization in μB per cell: 0.0
Calculated formation energy in meV/atom: -62